{"formula": "PaSbTe", "functional": "PBE", "state": "relaxed", "magmom_total_mub_per_cell": 1.6, "formation_energy_uncorrected_mev_per_atom": -468, "e_tot_ev_per_atom": -6.054, "lattice": [[4.4500, 0.0000, 0.0000], [0.0000, 4.4500, 0.0000], [0.0000, 0.0000, 17.0675]], "species": ["Pa", "Pa", "Pa", "Pa", "Sb", "Sb", "Sb", "Sb", "Te", "Te", "Te", "Te"], "frac_coords": [[0.0000, 0.0000, 0.1328], [0.0000, 0.0000, 0.8672], [0.5000, 0.5000, 0.3672], [0.5000, 0.5000, 0.6328], [0.0000, 0.0000, 0.3174], [0.0000, 0.0000, 0.6826], [0.5000, 0.5000, 0.1826], [0.5000, 0.5000, 0.8174], [0.0000, 0.5000, 0.0000], [0.0000, 0.5000, 0.5000], [0.5000, 0.0000, 0.0000], [0.5000, 0.0000, 0.5000]]}

{"formula": "ZrTi2AgO", "functional": "PBE", "state": "relaxed", "magmom_total_mub_per_cell": 0.0, "formation_energy_uncorrected_mev_per_atom": -1039, "e_tot_ev_per_atom": -7.468, "lattice": [[4.1581, 0.0000, 0.0000], [0.0000, 4.1581, 0.0000], [0.0000, 0.0000, 4.4966]], "species": ["Zr", "Ti", "Ti", "Ag", "O"], "frac_coords": [[0.0000, 0.0000, 0.0000], [0.0000, 0.5000, 0.5000], [0.5000, 0.0000, 0.5000], [0.5000, 0.5000, 0.0000], [0.0000, 0.0000, 0.5000]]}

{"formula": "Er4Co3B6", "functional": "PBE", "state": "relaxed", "magmom_total_mub_per_cell": 2.9, "ef_kj_per_mol_fu": -512.0, "e_tot_ev_per_atom": -6.534, "lattice": [[2.6437, 1.5264, 7.2479], [-2.6437, 1.5264, 7.2479], [0.0000, -3.0527, 7.2479]], "species": ["Er", "Er", "Er", "Er", "Co", "Co", "Co", "B", "B", "B", "B", "B", "B"], "frac_coords": [[0.0888, 0.0888, 0.0888], [0.2449, 0.2449, 0.2449], [0.7551, 0.7551, 0.7551], [0.9112, 0.9112, 0.9112], [0.3878, 0.3878, 0.3878], [0.5000, 0.5000, 0.5000], [0.6122, 0.6122, 0.6122], [0.0000, 0.3317, 0.6683], [0.0000, 0.6683, 0.3317], [0.3317, 0.0000, 0.6683], [0.3317, 0.6683, 0.0000], [0.6683, 0.0000, 0.3317], [0.6683, 0.3317, 0.0000]]}

{"formula": "Pm4Se5I", "functional": "PBE", "state": "relaxed", "magmom_total_mub_per_cell": 2.0, "formation_energy_uncorrected_mev_per_atom": -1573, "e_tot_ev_per_atom": -5.371, "lattice": [[8.6836, 0.0000, 0.0000], [0.0000, 10.6787, 0.0000], [0.0000, 0.0000, 7.2722]], "species": ["Pm", "Pm", "Pm", "Pm", "Pm", "Pm", "Pm", "Pm", "Se", "Se", "Se", "Se", "Se", "Se", "Se", "Se", "Se", "Se", "I", "I"], "frac_coords": [[0.0206, 0.2500, 0.0121], [0.2500, 0.5255, 0.5355], [0.2500, 0.9745, 0.5355], [0.4794, 0.2500, 0.0121], [0.5206, 0.7500, 0.9879], [0.7500, 0.0255, 0.4645], [0.7500, 0.4745, 0.4645], [0.9794, 0.7500, 0.9879], [0.0140, 0.5530, 0.2458], [0.0140, 0.9470, 0.2458], [0.2500, 0.7500, 0.7508], [0.4860, 0.5530, 0.2458], [0.4860, 0.9470, 0.2458], [0.5140, 0.0530, 0.7542], [0.5140, 0.4470, 0.7542], [0.7500, 0.2500, 0.2492], [0.9860, 0.0530, 0.7542], [0.9860, 0.4470, 0.7542], [0.2500, 0.2500, 0.3592], [0.7500, 0.7500, 0.6408]]}

{"formula": "PmHo2Er2Tm2", "functional": "PBE", "state": "relaxed", "magmom_total_mub_per_cell": 0.0, "ef_kj_per_mol_fu": 15.3, "e_tot_ev_per_atom": -4.545, "lattice": [[11.1306, 0.0000, 0.0000], [0.0000, 4.9888, 0.0000], [-1.1205, 0.0000, 7.8076]], "species": ["Pm", "Pm", "Ho", "Ho", "Ho", "Ho", "Er", "Er", "Er", "Er", "Tm", "Tm", "Tm", "Tm"], "frac_coords": [[0.0000, 0.0000, 0.0000], [0.5000, 0.5000, 0.0000], [0.1427, 0.0000, 0.4299], [0.3573, 0.5000, 0.5701], [0.6427, 0.5000, 0.4299], [0.8573, 0.0000, 0.5701], [0.0718, 0.5000, 0.7135], [0.4282, 0.0000, 0.2865], [0.5718, 0.0000, 0.7135], [0.9282, 0.5000, 0.2865], [0.2143, 0.5000, 0.1438], [0.2857, 0.0000, 0.8562], [0.7143, 0.0000, 0.1438], [0.7857, 0.5000, 0.8562]]}

{"formula": "NdGa9Co2", "functional": "PBE", "state": "relaxed", "magmom_total_mub_per_cell": 0.0, "ef_kj_per_mol_fu": -264.4, "relative_energy_ev_per_atom": 0.071, "e_tot_ev_per_atom": -4.080, "lattice": [[-5.1650, 5.1650, 3.7314], [5.1650, -5.1650, 3.7314], [5.1650, 5.1650, -3.7314]], "species": ["Nd", "Nd", "Ga", "Ga", "Ga", "Ga", "Ga", "Ga", "Ga", "Ga", "Ga", "Ga", "Ga", "Ga", "Ga", "Ga", "Ga", "Ga", "Ga", "Ga", "Co", "Co", "Co", "Co"], "frac_coords": [[0.3750, 0.6250, 0.7500], [0.6250, 0.3750, 0.2500], [0.1250, 0.8750, 0.2500], [0.1429, 0.5700, 0.3295], [0.1429, 0.8134, 0.5730], [0.1866, 0.2595, 0.3295], [0.1866, 0.8571, 0.9270], [0.2595, 0.1866, 0.8295], [0.2595, 0.4300, 0.0730], [0.4300, 0.2595, 0.5730], [0.4300, 0.8571, 0.1705], [0.5700, 0.1429, 0.8295], [0.5700, 0.7405, 0.4270], [0.7405, 0.5700, 0.9270], [0.7405, 0.8134, 0.1705], [0.8134, 0.1429, 0.0730], [0.8134, 0.7405, 0.6705], [0.8571, 0.1866, 0.4270], [0.8571, 0.4300, 0.6705], [0.8750, 0.1250, 0.7500], [0.0000, 0.0000, 0.0000], [0.0000, 0.0000, 0.5000], [0.0000, 0.5000, 0.0000], [0.5000, 0.0000, 0.5000]]}

{"formula": "Sc3TlN", "functional": "PBE", "state": "relaxed", "magmom_total_mub_per_cell": 0.0, "formation_energy_uncorrected_mev_per_atom": -658, "e_tot_ev_per_atom": -6.595, "lattice": [[3.6866, 0.0000, 0.0000], [-1.8433, 3.1926, 0.0000], [0.0000, 0.0000, 17.8625]], "species": ["Sc", "Sc", "Sc", "Sc", "Sc", "Sc", "Tl", "Tl", "N", "N"], "frac_coords": [[0.0000, 0.0000, 0.2500], [0.0000, 0.0000, 0.7500], [0.3333, 0.6667, 0.1251], [0.3333, 0.6667, 0.3749], [0.6667, 0.3333, 0.6251], [0.6667, 0.3333, 0.8749], [0.0000, 0.0000, 0.0000], [0.0000, 0.0000, 0.5000], [0.3333, 0.6667, 0.2500], [0.6667, 0.3333, 0.7500]]}

Please write out number 4 again, unchanged.
{"formula": "Pm4Se5I", "functional": "PBE", "state": "relaxed", "magmom_total_mub_per_cell": 2.0, "formation_energy_uncorrected_mev_per_atom": -1573, "e_tot_ev_per_atom": -5.371, "lattice": [[8.6836, 0.0000, 0.0000], [0.0000, 10.6787, 0.0000], [0.0000, 0.0000, 7.2722]], "species": ["Pm", "Pm", "Pm", "Pm", "Pm", "Pm", "Pm", "Pm", "Se", "Se", "Se", "Se", "Se", "Se", "Se", "Se", "Se", "Se", "I", "I"], "frac_coords": [[0.0206, 0.2500, 0.0121], [0.2500, 0.5255, 0.5355], [0.2500, 0.9745, 0.5355], [0.4794, 0.2500, 0.0121], [0.5206, 0.7500, 0.9879], [0.7500, 0.0255, 0.4645], [0.7500, 0.4745, 0.4645], [0.9794, 0.7500, 0.9879], [0.0140, 0.5530, 0.2458], [0.0140, 0.9470, 0.2458], [0.2500, 0.7500, 0.7508], [0.4860, 0.5530, 0.2458], [0.4860, 0.9470, 0.2458], [0.5140, 0.0530, 0.7542], [0.5140, 0.4470, 0.7542], [0.7500, 0.2500, 0.2492], [0.9860, 0.0530, 0.7542], [0.9860, 0.4470, 0.7542], [0.2500, 0.2500, 0.3592], [0.7500, 0.7500, 0.6408]]}